# GGA+U Cs2VPtF6, optimized geometry
data_Cs2VPtF6
_chemical_formula_sum 'Cs4 V2 Pt2 F12'
_symmetry_space_group_name_H-M 'I 4/m m m'
_symmetry_Int_Tables_number 139
_symmetry_space_group_name_Hall '-I 4 2'
_cell_length_a 5.909
_cell_length_b 5.909
_cell_length_c 11.178
_cell_angle_alpha 90.00
_cell_angle_beta 90.00
_cell_angle_gamma 90.00
loop_
_atom_site_label
_atom_site_fract_x
_atom_site_fract_y
_atom_site_fract_z
Cs1 0.000 0.500 0.250
V1 0.000 0.000 0.000
Pt1 0.000 0.000 0.500
F1 0.000 0.000 0.185
F2 0.240 0.240 0.500
# E_tot = -0.178 Ha/atom
# Theoretical density = 5.33 Mg/m³
# Volume = 19.5 Å³ per atom
# D(E_F) = 0.00 states/eV/f.u.